Computed, not measured: a geometry-optimized Tb3Pm4Rh4 structure at the PBE level of DFT.

Cell: 3.7164 9.0172 16.3570 Å, 90.00 90.00 90.00°
Space group Immm (No. 71)
Unique sites:
Tb (0.0000, 0.0000, 0.0000) [2 per cell]
Tb (0.0000, 0.5000, 0.0995) [4 per cell]
Pm (0.0000, 0.3137, 0.3359) [8 per cell]
Rh (0.0000, 0.0000, 0.2596) [4 per cell]
Rh (0.0000, 0.2171, 0.5000) [4 per cell]

E_form: -5.88 eV per formula unit
Size of the total moment: 0.000 μB per formula unit
Mass density: 8.90 g/cm³
Raw total energy: -136.4 eV per cell